# Cs2BaPbI6

A geometry-optimized Cs2BaPbI6 structure (GGA-PBE, Alexandria).

DOS at the Fermi energy in states/eV per atom: 0.000
Crystal system: monoclinic
SG: P2_1/c, No. 14
Magnetic moment in Bohr magnetons per cell: 0.00
Polymorph energy (0 for the lowest one) in meV/atom: 0
Uncorrected formation energy in kJ/mol of atoms: -130.5

Lattice parameters (Å, degrees): 8.904 9.350 15.553 90.00 124.39 90.00
Atoms (fractional coordinates):
Cs: 0.222 0.075 0.248
Cs: 0.222 0.425 0.748
Cs: 0.778 0.575 0.252
Cs: 0.778 0.925 0.752
Ba: 0.500 0.000 0.000
Ba: 0.500 0.500 0.500
Pb: 0.000 0.000 0.500
Pb: 0.000 0.500 0.000
I: 0.135 0.208 0.947
I: 0.135 0.292 0.447
I: 0.244 0.693 0.948
I: 0.244 0.807 0.448
I: 0.344 0.026 0.741
I: 0.344 0.474 0.241
I: 0.656 0.526 0.759
I: 0.656 0.974 0.259
I: 0.756 0.193 0.552
I: 0.756 0.307 0.052
I: 0.865 0.708 0.553
I: 0.865 0.792 0.053

# Cs2BaPbI6

A geometry-optimized Cs2BaPbI6 structure (GGA-PBE, Alexandria).

DOS at the Fermi energy in states/eV per atom: 0.000
Crystal system: cubic
SG: Fm-3m, No. 225
Magnetic moment in Bohr magnetons per cell: 0.00
Polymorph energy (0 for the lowest one) in meV/atom: 43
Uncorrected formation energy in kJ/mol of atoms: -126.4

Lattice parameters (Å, degrees): 9.299 9.299 9.299 60.00 60.00 60.00
Atoms (fractional coordinates):
Cs: 0.250 0.250 0.250
Cs: 0.750 0.750 0.750
Ba: 0.000 0.000 0.000
Pb: 0.500 0.500 0.500
I: 0.257 0.257 0.743
I: 0.257 0.743 0.257
I: 0.257 0.743 0.743
I: 0.743 0.257 0.257
I: 0.743 0.257 0.743
I: 0.743 0.743 0.257

# Cs2BaPrI6

A geometry-optimized Cs2BaPrI6 structure (GGA-PBE, Alexandria).

DOS at the Fermi energy in states/eV per atom: 0.477
Crystal system: orthorhombic
SG: Pmmn, No. 59
Magnetic moment in Bohr magnetons per cell: 2.02
Uncorrected formation energy in kJ/mol of atoms: -141.0

Lattice parameters (Å, degrees): 8.969 13.116 9.655 90.00 90.00 90.00
Atoms (fractional coordinates):
Cs: 0.250 0.044 0.195
Cs: 0.250 0.456 0.195
Cs: 0.750 0.544 0.805
Cs: 0.750 0.956 0.805
Ba: 0.250 0.250 0.717
Ba: 0.750 0.750 0.283
Pr: 0.250 0.750 0.779
Pr: 0.750 0.250 0.221
I: 0.007 0.750 0.020
I: 0.008 0.250 0.446
I: 0.250 0.507 0.778
I: 0.250 0.993 0.778
I: 0.492 0.250 0.446
I: 0.493 0.750 0.020
I: 0.507 0.250 0.980
I: 0.508 0.750 0.554
I: 0.750 0.007 0.222
I: 0.750 0.493 0.222
I: 0.992 0.750 0.554
I: 0.993 0.250 0.980

# CsBaPrI6

A geometry-optimized CsBaPrI6 structure (GGA-PBE, Alexandria).

DOS at the Fermi energy in states/eV per atom: 0.000
Crystal system: trigonal
SG: P-31c, No. 163
Magnetic moment in Bohr magnetons per cell: 0.00
Uncorrected formation energy in kJ/mol of atoms: -152.4

Lattice parameters (Å, degrees): 8.720 8.720 16.202 90.00 90.00 120.00
Atoms (fractional coordinates):
Cs: 0.000 0.000 0.000
Cs: 0.000 0.000 0.500
Ba: 0.333 0.667 0.250
Ba: 0.667 0.333 0.750
Pr: 0.333 0.667 0.750
Pr: 0.667 0.333 0.250
I: 0.027 0.388 0.635
I: 0.027 0.639 0.865
I: 0.361 0.388 0.865
I: 0.361 0.973 0.635
I: 0.388 0.027 0.135
I: 0.388 0.361 0.365
I: 0.612 0.639 0.635
I: 0.612 0.973 0.865
I: 0.639 0.027 0.365
I: 0.639 0.612 0.135
I: 0.973 0.361 0.135
I: 0.973 0.612 0.365

# Cs3BaPu2I9

A geometry-optimized Cs3BaPu2I9 structure (GGA-PBE, Alexandria).

DOS at the Fermi energy in states/eV per atom: 2.826
Crystal system: trigonal
SG: P-3m1, No. 164
Magnetic moment in Bohr magnetons per cell: 12.00
Uncorrected formation energy in kJ/mol of atoms: -130.0

Lattice parameters (Å, degrees): 9.018 9.018 11.613 90.00 90.00 120.00
Atoms (fractional coordinates):
Cs: 0.000 0.000 0.000
Cs: 0.333 0.667 0.724
Cs: 0.667 0.333 0.276
Ba: 0.000 0.000 0.500
Pu: 0.333 0.667 0.159
Pu: 0.667 0.333 0.841
I: 0.000 0.500 0.000
I: 0.167 0.333 0.312
I: 0.167 0.833 0.312
I: 0.333 0.167 0.688
I: 0.500 0.000 0.000
I: 0.500 0.500 0.000
I: 0.667 0.833 0.312
I: 0.833 0.167 0.688
I: 0.833 0.667 0.688

# Cs2BaPuI6

A geometry-optimized Cs2BaPuI6 structure (GGA-PBE, Alexandria).

DOS at the Fermi energy in states/eV per atom: 1.967
Crystal system: monoclinic
SG: P2_1/c, No. 14
Magnetic moment in Bohr magnetons per cell: 12.00
Uncorrected formation energy in kJ/mol of atoms: -140.0

Lattice parameters (Å, degrees): 8.853 9.347 15.537 90.00 124.30 90.00
Atoms (fractional coordinates):
Cs: 0.223 0.075 0.248
Cs: 0.223 0.425 0.748
Cs: 0.777 0.575 0.252
Cs: 0.777 0.925 0.752
Ba: 0.500 0.000 0.000
Ba: 0.500 0.500 0.500
Pu: 0.000 0.000 0.500
Pu: 0.000 0.500 0.000
I: 0.136 0.209 0.950
I: 0.136 0.291 0.450
I: 0.246 0.692 0.951
I: 0.246 0.808 0.451
I: 0.338 0.024 0.741
I: 0.338 0.476 0.241
I: 0.662 0.524 0.759
I: 0.662 0.976 0.259
I: 0.754 0.192 0.549
I: 0.754 0.308 0.049
I: 0.864 0.709 0.550
I: 0.864 0.791 0.050

# CsRb2BaI4

A geometry-optimized CsRb2BaI4 structure (GGA-PBE, Alexandria).

DOS at the Fermi energy in states/eV per atom: 0.476
Crystal system: monoclinic
SG: P2/m, No. 10
Magnetic moment in Bohr magnetons per cell: 0.02
Uncorrected formation energy in kJ/mol of atoms: -135.2

Lattice parameters (Å, degrees): 9.322 5.054 9.432 90.00 107.45 90.00
Atoms (fractional coordinates):
Cs: 0.000 0.000 0.000
Rb: 0.500 0.000 0.500
Rb: 0.500 0.500 0.000
Ba: 0.000 0.500 0.500
I: 0.239 0.000 0.731
I: 0.246 0.500 0.273
I: 0.754 0.500 0.727
I: 0.761 0.000 0.269

# Cs2RbBaI

A geometry-optimized Cs2RbBaI structure (GGA-PBE, Alexandria).

DOS at the Fermi energy in states/eV per atom: 0.805
Crystal system: tetragonal
SG: P4/mmm, No. 123
Magnetic moment in Bohr magnetons per cell: 0.00
Uncorrected formation energy in kJ/mol of atoms: -42.7

Lattice parameters (Å, degrees): 7.841 7.841 6.937 90.00 90.00 90.00
Atoms (fractional coordinates):
Cs: 0.000 0.500 0.000
Cs: 0.500 0.000 0.000
Rb: 0.000 0.000 0.500
Ba: 0.500 0.500 0.500
I: 0.500 0.500 0.000